Record 1
{
  "formula": "CoW",
  "functional": "GGA-PBE",
  "state": "relaxed",
  "cell": [[2.703, 0.000, 0.000], [0.000, 2.703, 0.000], [0.000, 0.000, 7.345]],
  "species": ["Co", "Co", "W", "W"],
  "frac_coords": [[0.250, 0.250, 0.108], [0.750, 0.750, 0.892], [0.750, 0.750, 0.347], [0.250, 0.250, 0.653]],
  "e_form_ev_per_atom": 0.16,
  "sg": "No. 129"
}

=====

Record 2
{
  "formula": "TlTc2Se",
  "functional": "GGA-PBE",
  "state": "relaxed",
  "cell": [[4.620, 0.000, 0.000], [0.000, 3.073, -0.024], [0.000, 0.042, 5.254]],
  "species": ["Tc", "Tc", "Tl", "Se"],
  "frac_coords": [[0.500, 0.375, 0.167], [0.000, 0.875, 0.022], [0.000, 0.375, 0.499], [0.500, 0.875, 0.811]],
  "polymorph_energy_ev_per_atom": 0.1964,
  "sg": "No. 25",
  "e_form_raw_ev_per_fu": 1.61
}

=====

Record 3
{
  "formula": "La2CuHg",
  "functional": "GGA-PBE",
  "state": "relaxed",
  "cell": [[-0.532, -0.681, 3.793], [-0.197, -3.819, -0.714], [7.335, -0.553, 0.930]],
  "species": ["La", "La", "Cu", "Hg"],
  "frac_coords": [[0.500, 0.500, 0.306], [0.000, 0.000, 0.958], [0.000, 0.000, 0.510], [0.500, 0.500, 0.726]],
  "e_form_ev_per_atom": -0.13,
  "sg": "No. 99"
}

=====

Record 4
{
  "formula": "NbAu2S",
  "functional": "GGA-PBE",
  "state": "relaxed",
  "cell": [[-3.075, 6.339, 2.803], [-4.548, -4.159, 4.418], [-2.028, 1.127, 5.482]],
  "species": ["S", "S", "Au", "Au", "Au", "Au", "Nb", "Nb"],
  "frac_coords": [[0.500, 0.500, 0.000], [0.250, 0.750, 0.500], [0.875, 0.856, 0.750], [0.375, 0.394, 0.750], [0.606, 0.125, 0.250], [0.144, 0.625, 0.250], [0.750, 0.250, 0.500], [0.000, 0.000, 0.000]],
  "sg": "No. 122",
  "e_form_raw_ev_per_fu": 0.40
}

=====

Record 5
{
  "formula": "CsTa2SiSe",
  "functional": "GGA-PBE",
  "state": "relaxed",
  "cell": [[-3.877, -2.728, 1.300], [2.885, -1.958, 4.495], [-1.708, 3.723, 2.718]],
  "species": ["Cs", "Ta", "Ta", "Si", "Se"],
  "frac_coords": [[0.500, 0.500, 0.500], [0.500, 0.000, 0.000], [0.000, 0.000, 0.500], [0.000, 0.000, 0.000], [0.000, 0.500, 0.000]],
  "sg": "No. 123",
  "e_form_raw_ev_per_fu": 6.01
}

=====

Record 6
{
  "formula": "KLi2MnCl8",
  "functional": "GGA-PBE",
  "state": "relaxed",
  "cell": [[-4.891, 3.605, -2.135], [0.242, -3.679, -4.287], [-5.074, -6.976, 1.346]],
  "species": ["Cl", "Cl", "Cl", "Cl", "Cl", "Cl", "Cl", "Cl", "Li", "Li", "Mn", "K"],
  "frac_coords": [[0.916, 0.323, 0.757], [0.176, 0.846, 0.855], [0.824, 0.154, 0.145], [0.494, 0.266, 0.479], [0.506, 0.734, 0.521], [0.688, 0.754, 0.971], [0.312, 0.246, 0.029], [0.084, 0.677, 0.243], [0.584, 0.448, 0.807], [0.416, 0.552, 0.193], [0.000, 0.000, 0.000], [0.000, 0.000, 0.500]],
  "sg": "No. 2",
  "e_form_raw_ev_per_fu": -14.41
}

=====

Record 7
{
  "formula": "Sr6Sb2PO",
  "functional": "GGA-PBE",
  "state": "relaxed",
  "cell": [[-0.860, -3.333, -4.355], [1.997, -4.296, 2.894], [-9.867, -2.161, 3.602]],
  "species": ["Sb", "Sb", "Sr", "Sr", "Sr", "Sr", "Sr", "Sr", "O", "P"],
  "frac_coords": [[0.000, 0.000, 0.271], [0.000, 0.000, 0.729], [0.500, 0.000, 0.500], [0.000, 0.500, 0.500], [0.500, 0.500, 0.270], [0.500, 0.500, 0.730], [0.500, 0.000, 0.000], [0.000, 0.500, 0.000], [0.500, 0.500, 0.500], [0.500, 0.500, 0.000]],
  "sg": "No. 123",
  "e_form_raw_ev_per_fu": -11.92
}

=====

Record 8
{
  "formula": "Ac2Al3Cu6",
  "functional": "GGA-PBE",
  "state": "relaxed",
  "cell": [[4.040, 0.000, 0.000], [0.000, 7.276, -0.731], [0.000, 0.073, 7.313]],
  "species": ["Cu", "Cu", "Cu", "Cu", "Cu", "Cu", "Al", "Al", "Al", "Ac", "Ac"],
  "frac_coords": [[0.500, 0.051, 0.347], [0.500, 0.619, 0.619], [0.500, 0.949, 0.653], [0.500, 0.347, 0.051], [0.500, 0.653, 0.949], [0.500, 0.381, 0.381], [0.000, 0.206, 0.206], [0.500, 0.000, 0.000], [0.000, 0.794, 0.794], [0.000, 0.711, 0.289], [0.000, 0.289, 0.711]],
  "e_form_ev_per_atom": -0.18,
  "sg": "No. 65"
}

=====

Record 9
{
  "formula": "Pm2Be2AlNi5",
  "functional": "GGA-PBE",
  "state": "relaxed",
  "cell": [[3.331, 0.000, 0.000], [0.000, 9.224, 0.000], [0.000, 0.000, 9.224]],
  "species": ["Pm", "Pm", "Pm", "Pm", "Ni", "Ni", "Ni", "Ni", "Ni", "Ni", "Ni", "Ni", "Ni", "Ni", "Be", "Be", "Be", "Be", "Al", "Al"],
  "frac_coords": [[0.000, 0.183, 0.317], [0.000, 0.317, 0.817], [0.000, 0.683, 0.183], [0.000, 0.817, 0.683], [0.500, 0.222, 0.063], [0.500, 0.000, 0.500], [0.500, 0.778, 0.937], [0.500, 0.500, 0.000], [0.500, 0.437, 0.278], [0.500, 0.063, 0.778], [0.500, 0.722, 0.437], [0.500, 0.563, 0.722], [0.500, 0.937, 0.222], [0.500, 0.278, 0.563], [0.000, 0.611, 0.889], [0.000, 0.111, 0.611], [0.000, 0.389, 0.111], [0.000, 0.889, 0.389], [0.000, 0.000, 0.000], [0.000, 0.500, 0.500]],
  "e_form_ev_per_atom": -0.33,
  "sg": "No. 127"
}

=====

Record 10
{
  "formula": "NbV3As2",
  "functional": "GGA-PBE",
  "state": "relaxed",
  "cell": [[-0.798, -3.102, 0.934], [3.812, 2.986, 7.218], [-7.503, 1.310, -2.059]],
  "species": ["V", "V", "V", "V", "V", "V", "Nb", "Nb", "As", "As", "As", "As"],
  "frac_coords": [[0.942, 0.884, 0.528], [0.637, 0.274, 0.805], [0.058, 0.116, 0.472], [0.311, 0.622, 0.519], [0.363, 0.726, 0.195], [0.689, 0.378, 0.481], [0.892, 0.783, 0.888], [0.108, 0.217, 0.112], [0.509, 0.019, 0.195], [0.245, 0.490, 0.776], [0.491, 0.981, 0.805], [0.755, 0.510, 0.224]],
  "e_form_ev_per_atom": -0.33,
  "sg": "No. 12"
}

=====

Record 11
{
  "formula": "LaTbTm2P4",
  "functional": "GGA-PBE",
  "state": "relaxed",
  "cell": [[-3.486, 0.053, -2.069], [2.379, -5.136, -4.139], [-1.732, -6.217, 2.760]],
  "species": ["P", "P", "P", "P", "Tm", "Tm", "Tb", "La"],
  "frac_coords": [[0.000, 0.763, 0.740], [0.000, 0.237, 0.260], [0.500, 0.241, 0.748], [0.500, 0.759, 0.252], [0.500, 0.000, 0.500], [0.000, 0.000, 0.000], [0.000, 0.500, 0.500], [0.500, 0.500, 0.000]],
  "e_form_ev_per_atom": -1.58,
  "sg": "No. 10"
}

=====

Record 12
{
  "formula": "ZnReHg",
  "functional": "GGA-PBE",
  "state": "relaxed",
  "cell": [[-4.427, -0.153, -0.235], [-2.366, -1.284, 3.526], [-2.443, 2.957, 2.228]],
  "species": ["Zn", "Re", "Hg"],
  "frac_coords": [[0.500, 0.500, 0.500], [0.000, 0.000, 0.000], [0.750, 0.750, 0.750]],
  "polymorph_energy_ev_per_atom": 0.8082,
  "e_form_ev_per_atom": 1.35,
  "sg": "No. 216"
}

=====

Record 13
{
  "formula": "Zr5AlSb3",
  "functional": "GGA-PBE",
  "state": "relaxed",
  "cell": [[-3.642, 7.895, -0.563], [-4.152, -6.952, -3.216], [-2.613, -0.836, 5.182]],
  "species": ["Sb", "Sb", "Sb", "Sb", "Sb", "Sb", "Al", "Al", "Zr", "Zr", "Zr", "Zr", "Zr", "Zr", "Zr", "Zr", "Zr", "Zr"],
  "frac_coords": [[0.613, 0.000, 0.250], [0.387, 0.387, 0.250], [0.387, 0.000, 0.750], [0.000, 0.387, 0.750], [0.000, 0.613, 0.250], [0.613, 0.613, 0.750], [0.000, 0.000, 0.500], [0.000, 0.000, 0.000], [0.667, 0.333, 0.000], [0.729, 0.000, 0.750], [0.271, 0.271, 0.750], [0.271, 0.000, 0.250], [0.333, 0.667, 0.500], [0.333, 0.667, 0.000], [0.667, 0.333, 0.500], [0.000, 0.729, 0.750], [0.000, 0.271, 0.250], [0.729, 0.729, 0.250]],
  "sg": "No. 193",
  "e_form_raw_ev_per_fu": -6.44
}

=====

Record 14
{
  "formula": "ScRu2",
  "functional": "GGA-PBE",
  "state": "relaxed",
  "cell": [[1.503, -7.130, 0.000], [1.503, 7.130, 0.000], [0.000, 0.000, 4.435]],
  "species": ["Ru", "Ru", "Ru", "Ru", "Sc", "Sc"],
  "frac_coords": [[0.269, 0.731, 0.250], [0.082, 0.918, 0.750], [0.918, 0.082, 0.250], [0.731, 0.269, 0.750], [0.588, 0.412, 0.250], [0.412, 0.588, 0.750]],
  "e_form_ev_per_atom": -0.21,
  "sg": "No. 63"
}

=====

Record 15
{
  "formula": "NaCeF5",
  "functional": "GGA-PBE",
  "state": "relaxed",
  "cell": [[-1.492, -3.325, -4.624], [7.153, -3.491, 4.124], [-6.645, -5.992, 6.452]],
  "species": ["Na", "Na", "Na", "Na", "F", "F", "F", "F", "F", "F", "F", "F", "F", "F", "F", "F", "F", "F", "F", "F", "F", "F", "F", "F", "Ce", "Ce", "Ce", "Ce"],
  "frac_coords": [[0.206, 0.697, 0.503], [0.294, 0.803, 0.003], [0.794, 0.303, 0.497], [0.706, 0.197, 0.997], [0.072, 0.224, 0.404], [0.044, 0.839, 0.860], [0.572, 0.724, 0.096], [0.428, 0.276, 0.904], [0.490, 0.375, 0.200], [0.002, 0.373, 0.881], [0.998, 0.627, 0.119], [0.124, 0.465, 0.614], [0.498, 0.127, 0.381], [0.510, 0.625, 0.800], [0.502, 0.873, 0.619], [0.624, 0.965, 0.886], [0.456, 0.661, 0.360], [0.928, 0.776, 0.596], [0.544, 0.339, 0.640], [0.376, 0.035, 0.114], [0.990, 0.875, 0.300], [0.876, 0.535, 0.386], [0.010, 0.125, 0.700], [0.956, 0.161, 0.140], [0.221, 0.133, 0.259], [0.721, 0.633, 0.241], [0.279, 0.367, 0.759], [0.779, 0.867, 0.741]],
  "sg": "No. 14",
  "e_form_raw_ev_per_fu": -24.28
}

=====

Record 16
{
  "formula": "BeAs2PtS",
  "functional": "GGA-PBE",
  "state": "relaxed",
  "cell": [[4.874, 0.000, 0.000], [0.000, 4.291, 0.000], [0.000, 0.000, 4.874]],
  "species": ["As", "As", "Pt", "Be", "S"],
  "frac_coords": [[0.000, 0.000, 0.500], [0.500, 0.000, 0.000], [0.000, 0.000, 0.000], [0.000, 0.500, 0.000], [0.500, 0.500, 0.500]],
  "polymorph_energy_ev_per_atom": 0.0000,
  "sg": "No. 123",
  "e_form_raw_ev_per_fu": 2.55
}

=====

Record 17
{
  "formula": "LaTaAs2",
  "functional": "GGA-PBE",
  "state": "relaxed",
  "cell": [[-9.087, 1.087, 1.591], [-8.598, -2.080, 2.835], [-7.927, 0.661, 4.798]],
  "species": ["As", "As", "La", "Ta"],
  "frac_coords": [[0.256, 0.256, 0.256], [0.009, 0.009, 0.009], [0.499, 0.499, 0.499], [0.736, 0.736, 0.736]],
  "polymorph_energy_ev_per_atom": 1.0154,
  "e_form_ev_per_atom": 0.16,
  "sg": "No. 160"
}

=====

Record 18
{
  "formula": "CoAsSe2Cl",
  "functional": "GGA-PBE",
  "state": "relaxed",
  "cell": [[5.033, 0.000, 0.000], [0.000, 5.033, 0.000], [0.000, 0.000, 4.761]],
  "species": ["As", "Co", "Se", "Se", "Cl"],
  "frac_coords": [[0.000, 0.000, 0.500], [0.500, 0.500, 0.500], [0.000, 0.500, 0.000], [0.500, 0.000, 0.000], [0.000, 0.000, 0.000]],
  "polymorph_energy_ev_per_atom": 1.0022,
  "sg": "No. 123",
  "e_form_raw_ev_per_fu": 6.96
}

=====

Record 19
{
  "formula": "CrReSb2",
  "functional": "GGA-PBE",
  "state": "relaxed",
  "cell": [[6.277, 0.000, 0.000], [0.000, 6.277, 0.000], [3.138, 3.138, 5.876]],
  "species": ["Sb", "Sb", "Sb", "Sb", "Cr", "Cr", "Re", "Re"],
  "frac_coords": [[0.375, 0.353, 0.750], [0.647, 0.125, 0.250], [0.875, 0.897, 0.750], [0.103, 0.625, 0.250], [0.500, 0.500, 0.000], [0.250, 0.750, 0.500], [0.000, 0.000, 0.000], [0.750, 0.250, 0.500]],
  "polymorph_energy_ev_per_atom": 0.7465,
  "sg": "No. 122",
  "e_form_raw_ev_per_fu": 3.87
}

=====

Record 20
{
  "formula": "LaSb2MoI",
  "functional": "GGA-PBE",
  "state": "relaxed",
  "cell": [[6.128, 0.000, 0.000], [0.000, 6.128, 0.000], [0.000, 0.000, 6.086]],
  "species": ["I", "Mo", "Sb", "Sb", "La"],
  "frac_coords": [[0.000, 0.000, 0.500], [0.500, 0.500, 0.500], [0.000, 0.500, 0.000], [0.500, 0.000, 0.000], [0.000, 0.000, 0.000]],
  "polymorph_energy_ev_per_atom": 0.9292,
  "sg": "No. 123",
  "e_form_raw_ev_per_fu": 4.82
}

=====

V
In order: 13.4, 18.7, 28.1, 18.6, 27.5, 24.3, 33.0, 19.6, 14.2, 15.1, 23.5, 20.6, 21.4, 15.8, 19.5, 20.4, 23.2, 24.1, 28.9, 45.7
Unit: Å³/atom